{"formula": "ScTcO3", "functional": "PBE-GGA", "state": "optimized geometry", "e_form_raw_ev_per_atom": -1.1444, "total_energy_ev_per_atom": -7.4589, "cell": [[3.991, 0.000, 0.000], [0.000, 3.991, 0.000], [0.000, 0.000, 3.991]], "species": ["Sc", "Tc", "O", "O", "O"], "frac_coords": [[0.000, 0.000, 0.000], [0.500, 0.500, 0.500], [0.000, 0.000, 0.500], [0.000, 0.500, 0.000], [0.500, 0.000, 0.000]]}


{"formula": "ScTcO4", "functional": "PBE-GGA", "state": "optimized geometry", "e_form_raw_ev_per_atom": -2.2031, "total_energy_ev_per_atom": -8.2915, "relative_energy_ev_per_fu": 0.07, "cell": [[5.239, 0.000, 0.000], [0.000, 4.684, 0.000], [0.000, 0.000, 5.677]], "species": ["Sc", "Sc", "Tc", "Tc", "O", "O", "O", "O", "O", "O", "O", "O"], "frac_coords": [[0.000, 0.000, 0.000], [0.000, 0.500, 0.500], [0.500, 0.000, 0.309], [0.500, 0.500, 0.809], [0.183, 0.211, 0.285], [0.183, 0.289, 0.785], [0.350, 0.743, 0.547], [0.350, 0.757, 0.047], [0.650, 0.243, 0.047], [0.650, 0.257, 0.547], [0.817, 0.711, 0.785], [0.817, 0.789, 0.285]]}


{"formula": "Sc2TcTeO", "functional": "PBE-GGA", "state": "optimized geometry", "e_form_raw_ev_per_atom": -0.8606, "total_energy_ev_per_atom": -7.0864, "cell": [[4.097, 0.000, 0.000], [0.000, 4.097, 0.000], [0.000, 0.000, 5.293]], "species": ["Sc", "Sc", "Tc", "Te", "O"], "frac_coords": [[0.000, 0.500, 0.000], [0.500, 0.000, 0.000], [0.000, 0.000, 0.500], [0.500, 0.500, 0.500], [0.500, 0.500, 0.000]]}


{"formula": "ThSc2TcO8", "functional": "PBE-GGA", "state": "optimized geometry", "e_form_raw_ev_per_atom": -2.7616, "total_energy_ev_per_atom": -8.6045, "cell": [[4.885, 0.000, 0.000], [0.000, 6.665, 0.000], [-0.058, 0.000, 4.889]], "species": ["Th", "Sc", "Sc", "Tc", "O", "O", "O", "O", "O", "O", "O", "O"], "frac_coords": [[0.000, 0.000, 0.000], [0.500, 0.249, 0.500], [0.500, 0.751, 0.500], [0.000, 0.500, 0.000], [0.198, 0.286, 0.196], [0.198, 0.714, 0.196], [0.273, 0.500, 0.725], [0.319, 0.000, 0.678], [0.681, 0.000, 0.322], [0.727, 0.500, 0.275], [0.802, 0.286, 0.804], [0.802, 0.714, 0.804]]}


{"formula": "ScTiTcO6", "functional": "PBE-GGA", "state": "optimized geometry", "e_form_raw_ev_per_atom": -2.3931, "total_energy_ev_per_atom": -8.4310, "cell": [[5.127, 0.000, 0.000], [-2.563, 4.440, 0.000], [0.000, 0.000, 8.739]], "species": ["Sc", "Sc", "Ti", "Ti", "Tc", "Tc", "O", "O", "O", "O", "O", "O", "O", "O", "O", "O", "O", "O"], "frac_coords": [[0.333, 0.667, 0.250], [0.667, 0.333, 0.750], [0.333, 0.667, 0.750], [0.667, 0.333, 0.250], [0.000, 0.000, 0.000], [0.000, 0.000, 0.500], [0.022, 0.332, 0.627], [0.022, 0.690, 0.873], [0.310, 0.332, 0.873], [0.310, 0.978, 0.627], [0.332, 0.022, 0.127], [0.332, 0.310, 0.373], [0.668, 0.690, 0.627], [0.668, 0.978, 0.873], [0.690, 0.022, 0.373], [0.690, 0.668, 0.127], [0.978, 0.310, 0.127], [0.978, 0.668, 0.373]]}


{"formula": "Sc2TlTcO8", "functional": "PBE-GGA", "state": "optimized geometry", "e_form_raw_ev_per_atom": -2.0010, "total_energy_ev_per_atom": -7.4227, "cell": [[3.317, -3.442, 0.000], [3.317, 3.442, 0.000], [0.000, 0.000, 6.691]], "species": ["Sc", "Sc", "Tl", "Tc", "O", "O", "O", "O", "O", "O", "O", "O"], "frac_coords": [[0.000, 0.000, 0.246], [0.000, 0.000, 0.754], [0.500, 0.500, 0.500], [0.500, 0.500, 0.000], [0.188, 0.188, 0.500], [0.209, 0.209, 0.000], [0.307, 0.693, 0.201], [0.307, 0.693, 0.799], [0.693, 0.307, 0.201], [0.693, 0.307, 0.799], [0.791, 0.791, 0.000], [0.812, 0.812, 0.500]]}


- Number 5 is which compound?
  ScTiTcO6